SCAN CaBi2AsCl, PBEsol geometry; formation energy without anion corrections = -182 meV per atom; spin magnetization = 0.0000 μB/atom
1.0
5.4776 0.0000 0.0000
0.0000 5.4776 0.0000
0.0000 0.0000 5.6417
Ca Bi As Cl
1 2 1 1
Direct
0.0000 0.0000 0.0000
0.0000 0.5000 0.5000
0.5000 0.0000 0.5000
0.0000 0.0000 0.5000
0.5000 0.5000 0.0000